First-principles (PBE with a Hubbard U) data for a relaxed BaCo12O19 crystal, as listed in the Open Quantum Materials Database.

```
BaCo12O19
1.0
5.653 0.000 0.000
-2.826 4.895 0.000
0.000 0.000 21.727
Ba Co O
2 24 38
Direct
0.333 0.667 0.250
0.667 0.333 0.750
0.000 0.000 0.000
0.000 0.000 0.250
0.000 0.000 0.500
0.000 0.000 0.750
0.166 0.331 0.108
0.166 0.331 0.392
0.166 0.834 0.108
0.166 0.834 0.392
0.331 0.166 0.608
0.331 0.166 0.892
0.333 0.667 0.528
0.333 0.667 0.690
0.333 0.667 0.810
0.333 0.667 0.972
0.667 0.333 0.028
0.667 0.333 0.190
0.667 0.333 0.310
0.667 0.333 0.472
0.669 0.834 0.108
0.669 0.834 0.392
0.834 0.166 0.608
0.834 0.166 0.892
0.834 0.669 0.608
0.834 0.669 0.892
0.000 0.000 0.157
0.000 0.000 0.343
0.000 0.000 0.657
0.000 0.000 0.843
0.009 0.505 0.151
0.009 0.505 0.349
0.148 0.296 0.557
0.148 0.296 0.943
0.148 0.852 0.557
0.148 0.852 0.943
0.185 0.371 0.750
0.185 0.815 0.750
0.296 0.148 0.057
0.296 0.148 0.443
0.333 0.667 0.062
0.333 0.667 0.438
0.371 0.185 0.250
0.495 0.505 0.151
0.495 0.505 0.349
0.495 0.991 0.151
0.495 0.991 0.349
0.505 0.009 0.651
0.505 0.009 0.849
0.505 0.495 0.651
0.505 0.495 0.849
0.629 0.815 0.750
0.667 0.333 0.562
0.667 0.333 0.938
0.704 0.852 0.557
0.704 0.852 0.943
0.815 0.185 0.250
0.815 0.629 0.250
0.852 0.148 0.057
0.852 0.148 0.443
0.852 0.704 0.057
0.852 0.704 0.443
0.991 0.495 0.651
0.991 0.495 0.849
```

Output
- Magnetization: 4.7 μB/f.u.
- Energy: -5.966 eV per atom
- Space-group type: P6_3/mmc